Entry 1:
Material: Mn2TeMo
Method: DFT, PBE
State: relaxed

Summary:
E_form (uncorrected)	2.04	eV per formula unit
calculated total energy	-30.27	eV per formula unit

a = 6.2564 Å, b = 6.2564 Å, c = 6.2564 Å
α = 34.00°, β = 34.00°, γ = 34.00°
With the nearest neighbours (Å) after each atom.
Positions (direct):
1 Mn 0.0000 0.0000 0.0000  3 Mn 2.27
2 Mn 0.2867 0.2867 0.2867  3 Mn 2.27, 3 Mo 2.42
3 Te 0.7664 0.7664 0.7664  3 Mn 2.75, 3 Mo 3.00
4 Mo 0.5534 0.5534 0.5534  3 Mn 2.42



Entry 2:
Material: YSc7Al4
Method: DFT, PBE
State: relaxed

Summary:
calculated total energy	-66.79	eV per formula unit
energy of formation	-0.09	eV/atom

a = 7.0199 Å, b = 7.0199 Å, c = 9.8860 Å
α = 122.06°, β = 122.06°, γ = 42.74°
With the nearest neighbours (Å) after each atom.
Positions (direct):
1 Y 0.0000 0.0000 0.0000  2 Sc 2.56
2 Sc 0.0625 0.0625 0.3895  5 Al 2.89-3.20, 1 Sc 3.05
3 Sc 0.2167 0.2167 0.8748  4 Al 3.03-3.06, 6 Sc 3.05-3.38
4 Sc 0.3044 0.3044 0.3635  4 Al 2.74-2.95
5 Sc 0.5000 0.5000 0.0000  2 Y 2.56, 4 Al 2.75-2.80
6 Sc 0.6956 0.6956 0.6365  4 Al 2.74-2.95
7 Sc 0.7833 0.7833 0.1252  4 Al 3.03-3.06, 6 Sc 3.05-3.38
8 Sc 0.9375 0.9375 0.6105  5 Al 2.89-3.20, 1 Sc 3.05
9 Al 0.3198 0.3198 0.6673  1 Al 2.70, 5 Sc 2.75-2.95
10 Al 0.4398 0.4398 0.2307  1 Al 2.70, 4 Sc 2.74-2.95
11 Al 0.5602 0.5602 0.7693  1 Al 2.70, 4 Sc 2.74-2.95
12 Al 0.6802 0.6802 0.3327  1 Al 2.70, 5 Sc 2.75-2.95



Entry 3:
Material: SmMgPb2
Method: DFT, PBE
State: relaxed

Summary:
calculated total energy	-14.50	eV per formula unit
energy of formation	-0.19	eV/atom

a = 7.1646 Å, b = 7.1646 Å, c = 7.1646 Å
α = 37.83°, β = 37.83°, γ = 37.83°
With the nearest neighbours (Å) after each atom.
Positions (direct):
1 Sm 0.0000 0.0000 0.0000  6 Pb 3.15-3.28
2 Mg 0.8201 0.8201 0.8201  6 Pb 3.02-3.18
3 Pb 0.4166 0.4166 0.4166  3 Mg 3.02, 1 Pb 3.10, 3 Sm 3.15
4 Pb 0.5723 0.5723 0.5723  1 Pb 3.10, 3 Mg 3.18, 3 Sm 3.28



Entry 4:
Material: RbPb3F6
Method: DFT, PBE
State: relaxed

Summary:
E_form (uncorrected)	-22.64	eV per formula unit
calculated total energy	-45.96	eV per formula unit

a = 7.7111 Å, b = 7.7111 Å, c = 3.9864 Å
α = 90.00°, β = 90.00°, γ = 109.22°
With the nearest neighbours (Å) after each atom.
Positions (direct):
1 Rb 0.0000 0.0000 0.0000  8 F 2.90-3.06
2 Pb 0.0000 0.5000 0.5000  6 F 2.46-2.51
3 Pb 0.5000 0.0000 0.5000  6 F 2.46-2.51
4 Pb 0.5000 0.5000 0.0000  4 F 2.51
5 F 0.1573 0.4204 0.0000  3 Pb 2.51
6 F 0.1673 0.8327 0.5000  2 Pb 2.46
7 F 0.4204 0.1573 0.0000  3 Pb 2.51
8 F 0.5796 0.8427 0.0000  3 Pb 2.51
9 F 0.8327 0.1673 0.5000  2 Pb 2.46
10 F 0.8427 0.5796 0.0000  3 Pb 2.51



Entry 5:
Material: KSr2PtPb
Method: DFT, PBE
State: relaxed

Summary:
calculated total energy	-12.38	eV per formula unit
energy of formation	0.37	eV/atom

a = 6.2712 Å, b = 6.2712 Å, c = 6.1183 Å
α = 90.00°, β = 90.00°, γ = 90.00°
With the nearest neighbours (Å) after each atom.
Positions (direct):
1 K 0.0000 0.0000 0.0000  2 Pb 3.06
2 Sr 0.0000 0.5000 0.5000  2 Pb 3.14
3 Sr 0.5000 0.0000 0.5000  2 Pb 3.14
4 Pt 0.5000 0.5000 0.0000  8 Sr 4.38, 4 K 4.43
5 Pb 0.0000 0.0000 0.5000  2 K 3.06, 4 Sr 3.14



Entry 6:
Material: BeVAg
Method: DFT, PBE
State: relaxed

Summary:
energy relative to the lowest polymorph listed for this composition	144	meV per atom
calculated total energy	-14.94	eV per formula unit
energy of formation	0.25	eV/atom

a = 4.3970 Å, b = 2.9997 Å, c = 6.4469 Å
α = 90.00°, β = 109.84°, γ = 90.00°
With the nearest neighbours (Å) after each atom.
Positions (direct):
1 Be 0.0000 0.0000 0.0000  6 Ag 2.41-2.67, 2 V 2.47
2 Be 0.3155 0.0000 0.6397  4 Ag 2.49-2.53, 6 V 2.67-2.69
3 V 0.6897 0.0000 0.3859  2 V 2.31
4 V 0.8340 0.5000 0.6758  2 V 2.31, 2 Be 2.47
5 Ag 0.1523 0.5000 0.3110  4 Be 2.41-2.49
6 Ag 0.4852 0.5000 0.9754  6 Be 2.53-2.67



Entry 7:
Material: InOs2Pt
Method: DFT, PBE
State: relaxed

Summary:
energy relative to the lowest polymorph listed for this composition	398	meV per atom
calculated total energy	-29.28	eV per formula unit
energy of formation	0.49	eV/atom

a = 4.9101 Å, b = 4.9101 Å, c = 2.8385 Å
α = 90.00°, β = 90.00°, γ = 110.87°
With the nearest neighbours (Å) after each atom.
Positions (direct):
1 In 0.0000 0.0000 0.0000  2 Pt 2.79, 8 Os 2.84, 2 In 2.84
2 Os 0.0000 0.5000 0.5000  4 Os 2.79-2.84, 4 Pt 2.84, 4 In 2.84
3 Os 0.5000 0.0000 0.5000  4 Os 2.79-2.84, 4 Pt 2.84, 4 In 2.84
4 Pt 0.5000 0.5000 0.0000  2 In 2.79, 8 Os 2.84, 2 Pt 2.84



Entry 8:
Material: Li5Ti3H12
Method: DFT, PBE
State: relaxed

Summary:
calculated total energy	-79.38	eV per formula unit

a = 9.2349 Å, b = 9.2349 Å, c = 9.2349 Å
α = 109.47°, β = 109.47°, γ = 109.47°
With the nearest neighbours (Å) after each atom.
Positions (direct):
1 Li 0.0000 0.0000 0.0000  6 H 1.85
2 Li 0.0000 0.0000 0.5000  6 H 1.85
3 Li 0.0000 0.5000 0.0000  6 H 1.85
4 Li 0.0000 0.5000 0.5000  6 H 1.85
5 Li 0.1250 0.7500 0.8750  4 H 1.71
6 Li 0.1250 0.8750 0.2500  4 H 1.71
7 Li 0.2500 0.1250 0.8750  4 H 1.71
8 Li 0.2500 0.6250 0.3750  4 H 1.71
9 Li 0.3750 0.2500 0.6250  4 H 1.71
10 Li 0.3750 0.6250 0.7500  4 H 1.71
11 Li 0.5000 0.0000 0.0000  6 H 1.85
12 Li 0.5000 0.0000 0.5000  6 H 1.85
13 Li 0.5000 0.5000 0.0000  6 H 1.85
14 Li 0.5000 0.5000 0.5000  6 H 1.85
15 Li 0.6250 0.3750 0.2500  4 H 1.71
16 Li 0.6250 0.7500 0.3750  4 H 1.71
17 Li 0.7500 0.3750 0.6250  4 H 1.71
18 Li 0.7500 0.8750 0.1250  4 H 1.71
19 Li 0.8750 0.1250 0.7500  4 H 1.71
20 Li 0.8750 0.2500 0.1250  4 H 1.71
21 Ti 0.1250 0.2500 0.3750  8 H 1.94-1.95
22 Ti 0.1250 0.3750 0.7500  8 H 1.94-1.95
23 Ti 0.2500 0.3750 0.1250  8 H 1.94-1.95
24 Ti 0.2500 0.8750 0.6250  8 H 1.94-1.95
25 Ti 0.3750 0.1250 0.2500  8 H 1.94-1.95
26 Ti 0.3750 0.7500 0.1250  8 H 1.94-1.95
27 Ti 0.6250 0.2500 0.8750  8 H 1.94-1.95
28 Ti 0.6250 0.8750 0.7500  8 H 1.94-1.95
29 Ti 0.7500 0.1250 0.3750  8 H 1.94-1.95
30 Ti 0.7500 0.6250 0.8750  8 H 1.94-1.95
31 Ti 0.8750 0.6250 0.2500  8 H 1.94-1.95
32 Ti 0.8750 0.7500 0.6250  8 H 1.94-1.95
33 H 0.0559 0.2291 0.1415  2 Li 1.71-1.85
34 H 0.0559 0.3268 0.9144  2 Li 1.71-1.85
35 H 0.0856 0.6415 0.4124  2 Li 1.71-1.85
36 H 0.0856 0.9441 0.6732  2 Li 1.71-1.85
37 H 0.0876 0.7291 0.6732  2 Li 1.71-1.85
38 H 0.0876 0.8585 0.4144  2 Li 1.71-1.85
39 H 0.1415 0.0559 0.2291  2 Li 1.71-1.85
40 H 0.1415 0.5856 0.9124  2 Li 1.71-1.85
41 H 0.1732 0.2291 0.5876  2 Li 1.71-1.85
42 H 0.1732 0.4441 0.5856  2 Li 1.71-1.85
43 H 0.2291 0.1415 0.0559  2 Li 1.71-1.85
44 H 0.2291 0.5876 0.1732  2 Li 1.71-1.85
45 H 0.2709 0.3268 0.9124  2 Li 1.71-1.85
46 H 0.2709 0.4441 0.3585  2 Li 1.71-1.85
47 H 0.3268 0.9124 0.2709  2 Li 1.71-1.85
48 H 0.3268 0.9144 0.0559  2 Li 1.71-1.85
49 H 0.3585 0.2709 0.4441  2 Li 1.71-1.85
50 H 0.3585 0.5876 0.9144  2 Li 1.71-1.85
51 H 0.4124 0.0856 0.6415  2 Li 1.71-1.85
52 H 0.4124 0.8268 0.7709  2 Li 1.71-1.85
53 H 0.4144 0.0876 0.8585  2 Li 1.71-1.85
54 H 0.4144 0.8268 0.5559  2 Li 1.71-1.85
55 H 0.4441 0.3585 0.2709  2 Li 1.71-1.85
56 H 0.4441 0.5856 0.1732  2 Li 1.71-1.85
57 H 0.5559 0.4144 0.8268  2 Li 1.71-1.85
58 H 0.5559 0.6415 0.7291  2 Li 1.71-1.85
59 H 0.5856 0.1732 0.4441  2 Li 1.71-1.85
60 H 0.5856 0.9124 0.1415  2 Li 1.71-1.85
61 H 0.5876 0.1732 0.2291  2 Li 1.71-1.85
62 H 0.5876 0.9144 0.3585  2 Li 1.71-1.85
63 H 0.6415 0.4124 0.0856  2 Li 1.71-1.85
64 H 0.6415 0.7291 0.5559  2 Li 1.71-1.85
65 H 0.6732 0.0856 0.9441  2 Li 1.71-1.85
66 H 0.6732 0.0876 0.7291  2 Li 1.71-1.85
67 H 0.7291 0.5559 0.6415  2 Li 1.71-1.85
68 H 0.7291 0.6732 0.0876  2 Li 1.71-1.85
69 H 0.7709 0.4124 0.8268  2 Li 1.71-1.85
70 H 0.7709 0.8585 0.9441  2 Li 1.71-1.85
71 H 0.8268 0.5559 0.4144  2 Li 1.71-1.85
72 H 0.8268 0.7709 0.4124  2 Li 1.71-1.85
73 H 0.8585 0.4144 0.0876  2 Li 1.71-1.85
74 H 0.8585 0.9441 0.7709  2 Li 1.71-1.85
75 H 0.9124 0.1415 0.5856  2 Li 1.71-1.85
76 H 0.9124 0.2709 0.3268  2 Li 1.71-1.85
77 H 0.9144 0.0559 0.3268  2 Li 1.71-1.85
78 H 0.9144 0.3585 0.5876  2 Li 1.71-1.85
79 H 0.9441 0.6732 0.0856  2 Li 1.71-1.85
80 H 0.9441 0.7709 0.8585  2 Li 1.71-1.85



Entry 9:
Material: GaPRu3
Method: DFT, PBE
State: relaxed

Summary:
energy relative to the lowest polymorph listed for this composition	0	meV per atom
calculated total energy	-34.96	eV per formula unit
energy of formation	0.26	eV/atom

a = 4.3433 Å, b = 4.3433 Å, c = 4.3433 Å
α = 90.00°, β = 90.00°, γ = 90.00°
With the nearest neighbours (Å) after each atom.
Positions (direct):
1 Ga 0.0000 0.0000 0.0000  12 Ru 3.07
2 P 0.5000 0.5000 0.5000  6 Ru 2.17
3 Ru 0.0000 0.5000 0.5000  2 P 2.17
4 Ru 0.5000 0.0000 0.5000  2 P 2.17
5 Ru 0.5000 0.5000 0.0000  2 P 2.17



Entry 10:
Material: CePaSnSb
Method: DFT, PBE
State: relaxed

Summary:
E_form (uncorrected)	-1.68	eV per formula unit
calculated total energy	-25.23	eV per formula unit

a = 5.3540 Å, b = 5.3540 Å, c = 5.3540 Å
α = 60.00°, β = 60.00°, γ = 60.00°
With the nearest neighbours (Å) after each atom.
Positions (direct):
1 Ce 0.0000 0.0000 0.0000  4 Sn 3.28, 4 Sb 3.28
2 Pa 0.5000 0.5000 0.5000  4 Sn 3.28, 4 Sb 3.28
3 Sn 0.2500 0.2500 0.2500  4 Ce 3.28, 4 Pa 3.28
4 Sb 0.7500 0.7500 0.7500  4 Ce 3.28, 4 Pa 3.28



Entry 11:
Material: SrCdW2
Method: DFT, PBE
State: relaxed

Summary:
calculated total energy	-23.85	eV per formula unit
energy of formation	1.16	eV/atom

a = 2.7813 Å, b = 5.2825 Å, c = 5.7676 Å
α = 90.00°, β = 90.00°, γ = 90.00°
With the nearest neighbours (Å) after each atom.
Positions (direct):
1 Sr 0.0000 0.0000 0.0000  2 Sr 2.78, 2 Cd 2.88
2 Cd 0.0000 0.0000 0.5000  2 Cd 2.78, 2 Sr 2.88
3 W 0.5000 0.5000 0.2311  3 W 2.67-2.78
4 W 0.5000 0.5000 0.7689  3 W 2.67-2.78



Entry 12:
Material: Tl2GaAu
Method: DFT, PBE
State: relaxed

Summary:
energy relative to the lowest polymorph listed for this composition	178	meV per atom
calculated total energy	-10.51	eV per formula unit
energy of formation	0.13	eV/atom

a = 11.1163 Å, b = 11.1163 Å, c = 11.1163 Å
α = 157.14°, β = 157.14°, γ = 32.55°
With the nearest neighbours (Å) after each atom.
Positions (direct):
1 Tl 0.1232 0.6250 0.9982  2 Au 3.09, 2 Ga 3.09, 4 Tl 3.10-3.13
2 Tl 0.3750 0.3732 0.4982  2 Au 3.09, 2 Ga 3.09, 4 Tl 3.10-3.13
3 Tl 0.6268 0.1250 0.0018  2 Au 3.09, 2 Ga 3.09, 4 Tl 3.10-3.13
4 Tl 0.8750 0.8768 0.5018  2 Au 3.09, 2 Ga 3.09, 4 Tl 3.10-3.13
5 Ga 0.2500 0.7500 0.5000  4 Tl 3.09, 4 Au 3.12
6 Ga 0.5000 0.5000 0.0000  4 Tl 3.09, 4 Au 3.12
7 Au 0.0000 0.0000 0.0000  4 Tl 3.09, 4 Ga 3.12
8 Au 0.7500 0.2500 0.5000  4 Tl 3.09, 4 Ga 3.12



Number 1: spin magnetization 0.78 μB/cell. Number 2: spin magnetization 0.30 μB/cell. Number 3: spin magnetization 0.00 μB/cell. Number 4: spin magnetization 0.10 μB/cell. Number 5: spin magnetization 0.00 μB/cell. Number 6: spin magnetization 0.00 μB/cell. Number 7: spin magnetization 0.00 μB/cell. Number 8: spin magnetization 0.00 μB/cell. Number 9: spin magnetization 0.00 μB/cell. Number 10: spin magnetization 1.96 μB/cell. Number 11: spin magnetization 0.00 μB/cell. Number 12: spin magnetization 0.00 μB/cell.